1.
Entry from the Alexandria database: a PBEsol-optimized structure of LaPtRh2 (meta-GGA SCAN).

abc: 4.0913 4.0931 5.0395
angles: 113.97 113.95 89.98
With the nearest neighbours (Å) after each atom.
Atoms (fractional coordinates):
La (0.5000, 0.4999, 0.0000)  8 Rh 2.89-2.91, 4 Pt 2.90-2.91
Pt (0.2499, 0.7503, 0.5001)  8 Rh 2.89-2.91, 4 La 2.90-2.91
Rh (0.0000, 0.9997, 0.9999)  4 La 2.89, 4 Pt 2.90-2.91, 4 Rh 2.90-2.91
Rh (0.7502, 0.2501, 0.5001)  4 Pt 2.89, 4 Rh 2.90-2.91, 4 La 2.90-2.91

**E_form**: -0.43 eV/atom
**Size of the total moment**: 0.0 μB/f.u.


2.
Entry from the Alexandria database: a PBEsol-optimized structure of MnTc2 (meta-GGA SCAN).

abc: 2.6579 5.0106 6.1881
angles: 104.27 90.00 105.38
With the nearest neighbours (Å) after each atom.
Atoms (fractional coordinates):
Mn (0.0263, 0.0525, 0.8068)  9 Tc 2.51-2.75, 3 Mn 2.57-2.66
Mn (0.9737, 0.9475, 0.1932)  9 Tc 2.51-2.75, 3 Mn 2.57-2.66
Tc (0.6343, 0.2686, 0.5300)  8 Tc 2.53-2.73, 4 Mn 2.59-2.62
Tc (0.3189, 0.6379, 0.8693)  5 Mn 2.51-2.75, 7 Tc 2.62-2.73
Tc (0.6811, 0.3621, 0.1307)  5 Mn 2.51-2.75, 7 Tc 2.62-2.73
Tc (0.3657, 0.7314, 0.4700)  8 Tc 2.53-2.73, 4 Mn 2.59-2.62

**E_form**: 0.11 eV/atom
**Energy above the most stable polymorph in this dataset**: 116 meV/atom
**Size of the total moment**: 0.0 μB/f.u.


3.
Entry from the Alexandria database: a PBEsol-optimized structure of PdRhSN2 (meta-GGA SCAN).

abc: 3.6935 3.6935 5.0718
angles: 90.00 90.00 90.00
With the nearest neighbours (Å) after each atom.
Atoms (fractional coordinates):
S (0.0000, 0.0000, 0.5000)  2 Pd 2.54, 4 Rh 2.61
Rh (0.5000, 0.5000, 0.5000)  4 S 2.61
Pd (0.0000, 0.0000, 0.0000)  4 N 1.85
N (0.0000, 0.5000, 0.0000)  2 Pd 1.85
N (0.5000, 0.0000, 0.0000)  2 Pd 1.85

**Formation energy from raw total energies**: 1.55 eV per atom
**Size of the total moment**: 4.5 μB/f.u.


4.
Entry from the Alexandria database: a PBEsol-optimized structure of Dy3Ir (meta-GGA SCAN).

abc: 6.2426 7.1060 9.1679
angles: 90.00 90.00 90.00
With the nearest neighbours (Å) after each atom.
Atoms (fractional coordinates):
Dy (0.3280, 0.6773, 0.0619)  2 Ir 2.82-2.85
Dy (0.1720, 0.1773, 0.4381)  2 Ir 2.82-2.85
Dy (0.6720, 0.3227, 0.5619)  2 Ir 2.82-2.85
Dy (0.8280, 0.8227, 0.9381)  2 Ir 2.82-2.85
Dy (0.6720, 0.3227, 0.9381)  2 Ir 2.82-2.85
Dy (0.8280, 0.8227, 0.5619)  2 Ir 2.82-2.85
Dy (0.3280, 0.6773, 0.4381)  2 Ir 2.82-2.85
Dy (0.1720, 0.1773, 0.0619)  2 Ir 2.82-2.85
Dy (0.8685, 0.5335, 0.2500)  2 Ir 2.73-2.83
Dy (0.6315, 0.0335, 0.2500)  2 Ir 2.73-2.83
Dy (0.1315, 0.4665, 0.7500)  2 Ir 2.73-2.83
Dy (0.3685, 0.9665, 0.7500)  2 Ir 2.73-2.83
Ir (0.0504, 0.8830, 0.2500)  6 Dy 2.73-2.85
Ir (0.4496, 0.3830, 0.2500)  6 Dy 2.73-2.85
Ir (0.9496, 0.1170, 0.7500)  6 Dy 2.73-2.85
Ir (0.5504, 0.6170, 0.7500)  6 Dy 2.73-2.85

**E_form**: -0.72 eV/atom
**Size of the total moment**: 0.0 μB/f.u.


5.
Entry from the Alexandria database: a PBEsol-optimized structure of ZnTc (meta-GGA SCAN).

abc: 2.9081 2.9081 6.5798
angles: 90.00 90.00 90.00
With the nearest neighbours (Å) after each atom.
Atoms (fractional coordinates):
Zn (0.5000, 0.0000, 0.6226)  8 Zn 2.61-2.91, 4 Tc 2.71
Zn (0.0000, 0.5000, 0.3774)  8 Zn 2.61-2.91, 4 Tc 2.71
Tc (0.5000, 0.0000, 0.1102)  4 Tc 2.52, 4 Zn 2.71
Tc (0.0000, 0.5000, 0.8898)  4 Tc 2.52, 4 Zn 2.71

**E_form**: -0.07 eV/atom
**Energy above the most stable polymorph in this dataset**: 0 meV/atom
**Size of the total moment**: 0.0 μB/f.u.


6.
Entry from the Alexandria database: a PBEsol-optimized structure of Mg3OsN (meta-GGA SCAN).

abc: 4.9315 4.9315 4.9315
angles: 90.00 90.00 90.00
With the nearest neighbours (Å) after each atom.
Atoms (fractional coordinates):
Mg (0.0000, 0.5000, 0.0000)  2 Os 2.47
Mg (0.0000, 0.0000, 0.5000)  2 Os 2.47
Mg (0.5000, 0.0000, 0.0000)  2 Os 2.47
Os (0.0000, 0.0000, 0.0000)  6 Mg 2.47
N (0.5000, 0.5000, 0.5000)  12 Mg 3.49

**Formation energy from raw total energies**: 1.47 eV per atom
**Size of the total moment**: 2.3 μB/f.u.


7.
Entry from the Alexandria database: a PBEsol-optimized structure of Y2CoAu (meta-GGA SCAN).

abc: 3.3371 4.5449 6.0605
angles: 112.02 105.98 90.00
With the nearest neighbours (Å) after each atom.
Atoms (fractional coordinates):
Au (0.4548, 0.4548, 0.9096)  2 Co 2.63
Co (0.7657, 0.2657, 0.5314)  2 Au 2.63, 4 Y 2.83
Y (0.0363, 0.0363, 0.0727)  4 Au 2.95, 2 Co 2.97, 2 Y 3.18
Y (0.2432, 0.7432, 0.4863)  4 Co 2.83

**E_form**: -0.41 eV/atom
**Size of the total moment**: 1.1 μB/f.u.


8.
Entry from the Alexandria database: a PBEsol-optimized structure of Hf3ScCu (meta-GGA SCAN).

abc: 4.8471 4.8471 4.8471
angles: 90.00 90.00 90.00
With the nearest neighbours (Å) after each atom.
Atoms (fractional coordinates):
Sc (0.0000, 0.0000, 0.0000)  6 Hf 2.42
Hf (0.0000, 0.5000, 0.0000)  2 Sc 2.42
Hf (0.0000, 0.0000, 0.5000)  2 Sc 2.42
Hf (0.5000, 0.0000, 0.0000)  2 Sc 2.42
Cu (0.5000, 0.5000, 0.5000)  12 Hf 3.43

**E_form**: 1.57 eV/atom
**Size of the total moment**: 0.0 μB/f.u.


9.
Entry from the Alexandria database: a PBEsol-optimized structure of ZnAgAu2 (meta-GGA SCAN).

abc: 3.9105 4.0484 4.0484
angles: 90.00 90.00 90.00
With the nearest neighbours (Å) after each atom.
Atoms (fractional coordinates):
Zn (0.5000, 0.5000, 0.5000)  8 Au 2.81, 4 Ag 2.86
Au (0.0000, 0.0000, 0.5000)  4 Ag 2.81, 4 Zn 2.81, 4 Au 2.86
Au (0.0000, 0.5000, 0.0000)  4 Ag 2.81, 4 Zn 2.81, 4 Au 2.86
Ag (0.5000, 0.0000, 0.0000)  8 Au 2.81, 4 Zn 2.86

**E_form**: -0.15 eV/atom
**Size of the total moment**: 0.0 μB/f.u.


10.
Entry from the Alexandria database: a PBEsol-optimized structure of Mo2AsW (meta-GGA SCAN).

abc: 3.1885 4.2047 5.1798
angles: 113.95 107.93 90.00
With the nearest neighbours (Å) after each atom.
Atoms (fractional coordinates):
Mo (0.7457, 0.7457, 0.4913)  4 Mo 2.64, 2 As 2.71, 2 W 2.77
Mo (0.2543, 0.2543, 0.5087)  4 Mo 2.64, 2 As 2.71, 2 W 2.77
As (0.0000, 0.5000, 0.0000)  4 W 2.64, 4 Mo 2.71
W (0.5000, 0.0000, 0.0000)  4 As 2.64, 4 Mo 2.77

**E_form**: 0.15 eV/atom
**Size of the total moment**: 0.0 μB/f.u.


11.
Entry from the Alexandria database: a PBEsol-optimized structure of BeSCl2F (meta-GGA SCAN).

abc: 4.2129 4.2129 4.4857
angles: 90.00 90.00 90.00
With the nearest neighbours (Å) after each atom.
Atoms (fractional coordinates):
Be (0.0000, 0.0000, 0.0000)  4 Cl 2.11, 2 S 2.24
S (0.0000, 0.0000, 0.5000)  2 Be 2.24
F (0.5000, 0.5000, 0.5000)  4 S 2.98, 8 Cl 3.08
Cl (0.0000, 0.5000, 0.0000)  2 Be 2.11
Cl (0.5000, 0.0000, 0.0000)  2 Be 2.11

**Formation energy from raw total energies**: -0.11 eV per atom
**Size of the total moment**: 1.6 μB/f.u.


12.
Entry from the Alexandria database: a PBEsol-optimized structure of Ti2Cu (meta-GGA SCAN).

abc: 2.9000 2.9000 5.6688
angles: 104.82 104.82 90.00
With the nearest neighbours (Å) after each atom.
Atoms (fractional coordinates):
Cu (0.0000, 0.0000, 0.0000)  8 Ti 2.67, 4 Cu 2.90
Ti (0.6616, 0.6616, 0.3232)  4 Cu 2.67, 8 Ti 2.77-2.90
Ti (0.3384, 0.3384, 0.6768)  4 Cu 2.67, 8 Ti 2.77-2.90

**E_form**: -0.15 eV/atom
**Size of the total moment**: 0.0 μB/f.u.


13.
Entry from the Alexandria database: a PBEsol-optimized structure of TcAg2As (meta-GGA SCAN).

abc: 4.4453 4.4453 4.4453
angles: 60.00 60.00 60.00
With the nearest neighbours (Å) after each atom.
Atoms (fractional coordinates):
As (0.5000, 0.5000, 0.5000)  4 Tc 2.72, 4 Ag 2.72
Tc (0.2500, 0.2500, 0.2500)  4 Ag 2.72, 4 As 2.72
Ag (0.0000, 0.0000, 0.0000)  4 Tc 2.72, 4 Ag 2.72
Ag (0.7500, 0.7500, 0.7500)  4 Ag 2.72, 4 As 2.72

**E_form**: 0.46 eV/atom
**Size of the total moment**: 0.0 μB/f.u.


14.
Entry from the Alexandria database: a PBEsol-optimized structure of BaSiPb2 (meta-GGA SCAN).

abc: 4.0562 4.0562 7.2407
angles: 90.00 90.00 90.00
With the nearest neighbours (Å) after each atom.
Atoms (fractional coordinates):
Ba (0.5000, 0.5000, 0.7345)  5 Pb 3.34-3.68, 4 Si 3.58
Pb (0.0000, 0.0000, 0.0536)  1 Si 2.79
Pb (0.5000, 0.5000, 0.2734)  4 Si 3.11, 4 Pb 3.28, 1 Ba 3.34
Si (0.0000, 0.0000, 0.4385)  5 Pb 2.79-3.11

**Formation energy from raw total energies**: -0.11 eV per atom
**Size of the total moment**: 0.0 μB/f.u.


15.
Entry from the Alexandria database: a PBEsol-optimized structure of ZnRuSe2 (meta-GGA SCAN).

abc: 3.0089 4.2259 6.1929
angles: 109.95 104.06 90.00
With the nearest neighbours (Å) after each atom.
Atoms (fractional coordinates):
Ru (0.0000, 0.5000, 0.0000)  4 Se 2.48, 4 Zn 2.59
Se (0.6749, 0.6749, 0.3498)  2 Ru 2.48
Se (0.3251, 0.3251, 0.6502)  2 Ru 2.48
Zn (0.5000, 0.0000, 0.0000)  4 Ru 2.59, 4 Se 2.89

**Formation energy from raw total energies**: -0.04 eV per atom
**Size of the total moment**: 0.0 μB/f.u.


16.
Entry from the Alexandria database: a PBEsol-optimized structure of YTl2Au (meta-GGA SCAN).

abc: 5.0841 5.0841 5.0841
angles: 60.00 60.00 60.00
With the nearest neighbours (Å) after each atom.
Atoms (fractional coordinates):
Au (0.5000, 0.5000, 0.5000)  4 Tl 3.11, 4 Y 3.11
Tl (0.0000, 0.0000, 0.0000)  4 Y 3.11, 4 Tl 3.11
Tl (0.7500, 0.7500, 0.7500)  4 Tl 3.11, 4 Au 3.11
Y (0.2500, 0.2500, 0.2500)  4 Au 3.11, 4 Tl 3.11

**E_form**: -0.42 eV/atom
**Energy above the most stable polymorph in this dataset**: 0 meV/atom
**Size of the total moment**: 0.0 μB/f.u.


17.
Entry from the Alexandria database: a PBEsol-optimized structure of Ta2FeRu (meta-GGA SCAN).

abc: 3.0585 3.0585 6.2833
angles: 90.00 90.00 90.00
With the nearest neighbours (Å) after each atom.
Atoms (fractional coordinates):
Ru (0.5000, 0.5000, 0.5000)  8 Ta 2.72
Fe (0.5000, 0.5000, 0.0000)  8 Ta 2.63
Ta (0.0000, 0.0000, 0.7622)  4 Fe 2.63, 4 Ru 2.72
Ta (0.0000, 0.0000, 0.2378)  4 Fe 2.63, 4 Ru 2.72

**E_form**: -0.32 eV/atom
**Size of the total moment**: 1.5 μB/f.u.


18.
Entry from the Alexandria database: a PBEsol-optimized structure of Cu3SeI2 (meta-GGA SCAN).

abc: 3.9524 3.9644 17.7671
angles: 90.00 90.00 90.00
With the nearest neighbours (Å) after each atom.
Atoms (fractional coordinates):
Cu (0.0000, 0.0000, 0.2143)  2 Se 2.40, 2 I 2.67
Cu (0.5000, 0.5000, 0.7143)  2 Se 2.40, 2 I 2.67
Cu (0.0000, 0.0000, 0.7101)  2 Se 2.45, 2 I 2.62
Cu (0.5000, 0.5000, 0.2101)  2 Se 2.45, 2 I 2.62
Cu (0.0000, 0.0000, 0.8666)  2 Se 2.39, 2 I 2.51
Cu (0.5000, 0.5000, 0.3666)  2 Se 2.39, 2 I 2.51
Se (0.0000, 0.5000, 0.7912)  6 Cu 2.39-2.45
Se (0.5000, 0.0000, 0.2912)  6 Cu 2.39-2.45
I (0.0000, 0.5000, 0.1133)  4 Cu 2.62-2.67
I (0.5000, 0.0000, 0.6133)  4 Cu 2.62-2.67
I (0.0000, 0.5000, 0.4534)  2 Cu 2.51
I (0.5000, 0.0000, 0.9534)  2 Cu 2.51

**Formation energy from raw total energies**: -0.12 eV per atom
**Size of the total moment**: 0.0 μB/f.u.


19.
Entry from the Alexandria database: a PBEsol-optimized structure of Ti3SbSe (meta-GGA SCAN).

abc: 4.6390 4.6390 4.6390
angles: 90.00 90.00 90.00
With the nearest neighbours (Å) after each atom.
Atoms (fractional coordinates):
Sb (0.5000, 0.5000, 0.5000)  12 Ti 3.28
Se (0.0000, 0.0000, 0.0000)  6 Ti 2.32
Ti (0.0000, 0.5000, 0.0000)  2 Se 2.32
Ti (0.0000, 0.0000, 0.5000)  2 Se 2.32
Ti (0.5000, 0.0000, 0.0000)  2 Se 2.32

**Formation energy from raw total energies**: -0.12 eV per atom
**Energy above the most stable polymorph in this dataset**: 0 meV/atom
**Size of the total moment**: 3.0 μB/f.u.


20.
Entry from the Alexandria database: a PBEsol-optimized structure of RbCu3I (meta-GGA SCAN).

abc: 5.2070 5.2070 5.2070
angles: 90.00 90.00 90.00
With the nearest neighbours (Å) after each atom.
Atoms (fractional coordinates):
I (0.5000, 0.5000, 0.5000)  12 Cu 3.68
Cu (0.0000, 0.5000, 0.0000)  2 Rb 2.60
Cu (0.0000, 0.0000, 0.5000)  2 Rb 2.60
Cu (0.5000, 0.0000, 0.0000)  2 Rb 2.60
Rb (0.0000, 0.0000, 0.0000)  6 Cu 2.60

**Formation energy from raw total energies**: 1.73 eV per atom
**Size of the total moment**: 0.0 μB/f.u.